A plane-wave DFT calculation with GGA+U was carried out for a geometry-optimized CaCoO2 structure.

Values from the calculation:
VASP energy: -6.124 eV per atom
calculated density: 3.90 g cm⁻³
polymorph energy (0 for the lowest one): 0.324 eV/f.u.

Lattice parameters (Å, degrees): 3.257 8.315 8.866 70.54 82.24 81.89
Fractional positions:
1 Ca 0.000 0.000 0.000
2 Ca 0.152 0.064 0.639
3 Ca 0.344 0.850 0.380
4 Ca 0.525 0.587 0.179
5 Co 0.149 0.350 0.027
6 Co 0.520 0.421 0.734
7 Co 0.623 0.208 0.283
8 Co 0.742 0.714 0.762
9 O 0.066 0.366 0.262
10 O 0.072 0.281 0.748
11 O 0.304 0.668 0.645
12 O 0.416 0.115 0.125
13 O 0.621 0.916 0.837
14 O 0.635 0.493 0.946
15 O 0.735 0.014 0.470
16 O 0.946 0.759 0.229